# 1
CsTl3Pt after structural relaxation. Source: the Alexandria database, functional PBE-GGA.

The value obtained for the density of states at the Fermi level is 1.81 states/eV/f.u. The uncorrected energy is -2.943 eV/atom. As for the spin magnetization: 0.000 Bohr magnetons per cell. As for the formation energy: -0.72 eV per formula unit.

Cell: 6.669 5.700 9.114 Å, 90.00 90.61 90.00°
Space group Pm (No. 6)
Inequivalent atoms, fractional coordinates:
Cs (0.000, 0.000, 0.000)
Cs (0.461, 0.500, 0.982)
Tl (0.098, 0.000, 0.535)
Tl (0.360, 0.500, 0.443)
Tl (0.502, 0.000, 0.273)
Tl (0.514, 0.000, 0.709)
Tl (0.939, 0.500, 0.274)
Tl (0.963, 0.500, 0.710)
Pt (0.729, 0.250, 0.494)

=====

# 2
CsTl3Pt after structural relaxation. Source: the Alexandria database, functional PBE-GGA.

The value obtained for the density of states at the Fermi level is 3.15 states/eV/f.u. The uncorrected energy is -2.875 eV/atom. As for the spin magnetization: 0.000 Bohr magnetons per cell. As for the formation energy: -0.38 eV per formula unit.

Cell: 7.542 11.352 7.921 Å, 90.00 90.00 90.00°
Space group Pnma (No. 62)
Inequivalent atoms, fractional coordinates:
Cs (0.001, 0.250, 0.091)
Tl (0.000, 0.250, 0.594)
Tl (0.249, 0.029, 0.751)
Pt (0.000, 0.000, 0.500)

=====

# 3
Cs2Tl6Pt after structural relaxation. Source: the Alexandria database, functional PBE-GGA.

The value obtained for the density of states at the Fermi level is 4.39 states/eV/f.u. The uncorrected energy is -2.533 eV/atom. As for the spin magnetization: 0.000 Bohr magnetons per cell. As for the formation energy: -0.86 eV per formula unit.

Cell: 13.119 8.351 5.989 Å, 90.00 94.47 90.00°
Space group C2/m (No. 12)
Inequivalent atoms, fractional coordinates:
Cs (0.131, 0.000, 0.210)
Tl (0.094, 0.300, 0.689)
Tl (0.185, 0.500, 0.266)
Pt (0.000, 0.500, 0.000)

=====

# 4
Cs2Tl3Pt after structural relaxation. Source: the Alexandria database, functional PBE-GGA.

The value obtained for the density of states at the Fermi level is 4.06 states/eV/f.u. The uncorrected energy is -2.530 eV/atom. As for the spin magnetization: 0.000 Bohr magnetons per cell. As for the formation energy: -0.33 eV per formula unit.

Cell: 10.654 10.892 17.623 Å, 90.00 90.00 90.00°
Space group Fmmm (No. 69)
Inequivalent atoms, fractional coordinates:
Cs (0.000, 0.243, 0.000)
Cs (0.250, 0.250, 0.250)
Tl (0.000, 0.000, 0.186)
Tl (0.230, 0.000, 0.409)
Pt (0.000, 0.000, 0.340)

=====

# 5
Cs2Tl5Pt3 after structural relaxation. Source: the Alexandria database, functional PBE-GGA.

The value obtained for the density of states at the Fermi level is 3.59 states/eV/f.u. The uncorrected energy is -3.277 eV/atom. As for the spin magnetization: 0.000 Bohr magnetons per cell. As for the formation energy: -1.11 eV per formula unit.

Cell: 7.144 10.036 10.276 Å, 67.66 69.75 69.17°
Space group P-1 (No. 2)
Inequivalent atoms, fractional coordinates:
Cs (0.125, 0.141, 0.110)
Cs (0.370, 0.394, 0.367)
Tl (0.025, 0.218, 0.735)
Tl (0.120, 0.517, 0.742)
Tl (0.255, 0.000, 0.499)
Tl (0.408, 0.706, 0.979)
Tl (0.478, 0.782, 0.265)
Pt (0.119, 0.765, 0.498)
Pt (0.198, 0.500, 0.000)
Pt (0.389, 0.978, 0.744)

=====

# 6
CsTlPt3 after structural relaxation. Source: the Alexandria database, functional PBE-GGA.

The value obtained for the density of states at the Fermi level is 3.99 states/eV/f.u. The uncorrected energy is -3.485 eV/atom. As for the spin magnetization: 0.000 Bohr magnetons per cell. As for the formation energy: 3.92 eV per formula unit.

Cell: 5.244 5.244 5.244 Å, 90.00 90.00 90.00°
Space group Pm-3m (No. 221)
Inequivalent atoms, fractional coordinates:
Cs (0.000, 0.000, 0.000)
Tl (0.500, 0.500, 0.500)
Pt (0.000, 0.500, 0.500)

=====

# 7
CsTl4Pt2 after structural relaxation. Source: the Alexandria database, functional PBE-GGA.

The value obtained for the density of states at the Fermi level is 3.43 states/eV/f.u. The uncorrected energy is -3.292 eV/atom. As for the spin magnetization: 0.000 Bohr magnetons per cell. As for the formation energy: -0.64 eV per formula unit.

Cell: 14.389 4.300 13.898 Å, 90.00 90.00 90.00°
Space group Pnma (No. 62)
Inequivalent atoms, fractional coordinates:
Cs (0.229, 0.250, 0.175)
Tl (0.013, 0.750, 0.718)
Tl (0.028, 0.750, 0.090)
Tl (0.099, 0.250, 0.512)
Tl (0.229, 0.250, 0.900)
Pt (0.076, 0.750, 0.378)
Pt (0.104, 0.750, 0.898)

=====

# 8
CsTl2Pt2 after structural relaxation. Source: the Alexandria database, functional PBE-GGA.

The value obtained for the density of states at the Fermi level is 1.20 states/eV/f.u. The uncorrected energy is -3.683 eV/atom. As for the spin magnetization: 0.000 Bohr magnetons per cell. As for the formation energy: -0.75 eV per formula unit.

Cell: 3.994 3.994 18.723 Å, 90.00 90.00 90.00°
Space group I4/mmm (No. 139)
Inequivalent atoms, fractional coordinates:
Cs (0.000, 0.000, 0.000)
Tl (0.000, 0.000, 0.357)
Pt (0.000, 0.500, 0.250)

=====

# 9
Cs3Tl3Pt after structural relaxation. Source: the Alexandria database, functional PBE-GGA.

The value obtained for the density of states at the Fermi level is 3.37 states/eV/f.u. The uncorrected energy is -2.348 eV/atom. As for the spin magnetization: 0.000 Bohr magnetons per cell. As for the formation energy: -0.74 eV per formula unit.

Cell: 10.632 5.596 10.811 Å, 90.00 103.35 90.00°
Space group P2_1/m (No. 11)
Inequivalent atoms, fractional coordinates:
Cs (0.073, 0.250, 0.328)
Cs (0.316, 0.250, 0.721)
Cs (0.399, 0.250, 0.181)
Tl (0.044, 0.250, 0.928)
Tl (0.233, 0.750, 0.961)
Tl (0.367, 0.750, 0.457)
Pt (0.218, 0.750, 0.214)

=====

# 10
CsTl3Pt after structural relaxation. Source: the Alexandria database, functional PBE-GGA.

The value obtained for the density of states at the Fermi level is 1.26 states/eV/f.u. The uncorrected energy is -2.906 eV/atom. As for the spin magnetization: 0.000 Bohr magnetons per cell. As for the formation energy: -0.53 eV per formula unit.

Cell: 9.789 6.699 13.155 Å, 90.00 127.97 90.00°
Space group P2_1/c (No. 14)
Inequivalent atoms, fractional coordinates:
Cs (0.242, 0.181, 0.195)
Tl (0.010, 0.687, 0.168)
Tl (0.250, 0.657, 0.045)
Tl (0.477, 0.730, 0.415)
Pt (0.223, 0.505, 0.411)

=====

# 11
CsTlPt after structural relaxation. Source: the Alexandria database, functional PBE-GGA.

The value obtained for the density of states at the Fermi level is 0.92 states/eV/f.u. The uncorrected energy is -3.126 eV/atom. As for the spin magnetization: 0.000 Bohr magnetons per cell. As for the formation energy: -0.12 eV per formula unit.

Cell: 3.874 3.874 12.981 Å, 90.00 90.00 90.00°
Space group I4mm (No. 107)
Inequivalent atoms, fractional coordinates:
Cs (0.000, 0.000, 0.000)
Tl (0.000, 0.000, 0.725)
Pt (0.000, 0.000, 0.289)

=====

# 12
CsTl3Pt after structural relaxation. Source: the Alexandria database, functional PBE-GGA.

The value obtained for the density of states at the Fermi level is 2.62 states/eV/f.u. The uncorrected energy is -2.946 eV/atom. As for the spin magnetization: 0.000 Bohr magnetons per cell. As for the formation energy: -0.74 eV per formula unit.

Cell: 9.085 4.328 9.865 Å, 90.00 114.52 90.00°
Space group Pm (No. 6)
Inequivalent atoms, fractional coordinates:
Cs (0.000, 0.000, 0.000)
Cs (0.440, 0.500, 0.862)
Tl (0.157, 0.000, 0.509)
Tl (0.282, 0.500, 0.354)
Tl (0.491, 0.000, 0.212)
Tl (0.599, 0.000, 0.616)
Tl (0.841, 0.500, 0.246)
Tl (0.947, 0.500, 0.650)
Pt (0.612, 0.500, 0.426)
Pt (0.827, 0.000, 0.435)